# PBE-GGA Mn2Pb2Se, relaxed
# total magnetization = 15.66 μB per cell
# energy above the lowest structure with this stoichiometry = 0.000 eV/atom
# uncorrected formation energy = 0.440 eV per atom
data_Mn2Pb2Se
_space_group_name_H-M_alt 'P 4/m b m'
_space_group_IT_number 127
_space_group_name_Hall '-P 4 2ab'
_cell_length_a 8.591
_cell_length_b 8.591
_cell_length_c 3.147
_cell_angle_alpha 90.00
_cell_angle_beta 90.00
_cell_angle_gamma 90.00
loop_
_atom_site_label
_atom_site_type_symbol
_atom_site_fract_x
_atom_site_fract_y
_atom_site_fract_z
Mn1 Mn 0.108 0.392 0.000
Pb1 Pb 0.188 0.688 0.500
Se1 Se 0.000 0.000 0.500



# PBE-GGA LaCrPb2, relaxed
# total magnetization = 3.88 μB per cell
# energy relative to the elements = 64 kJ/mol of formula units
data_LaCrPb2
_space_group_name_H-M_alt 'P 1 m 1'
_space_group_IT_number 6
_space_group_name_Hall 'P -2y'
_cell_length_a 5.416
_cell_length_b 3.723
_cell_length_c 6.326
_cell_angle_alpha 90.00
_cell_angle_beta 115.06
_cell_angle_gamma 90.00
loop_
_atom_site_label
_atom_site_type_symbol
_atom_site_fract_x
_atom_site_fract_y
_atom_site_fract_z
La1 La 0.000 0.000 0.000
Cr1 Cr 0.519 0.500 0.041
Pb1 Pb 0.269 0.500 0.544
Pb2 Pb 0.710 0.000 0.424



# PBE-GGA Pu2Te2Cl, relaxed
# total magnetization = 44.00 μB per cell
# energy above the lowest structure with this stoichiometry = 0.000 eV/atom
# uncorrected formation energy = -1.259 eV per atom
data_Pu2Te2Cl
_space_group_name_H-M_alt 'I b a m'
_space_group_IT_number 72
_space_group_name_Hall '-I 2 2c'
_cell_length_a 8.159
_cell_length_b 12.078
_cell_length_c 6.261
_cell_angle_alpha 90.00
_cell_angle_beta 90.00
_cell_angle_gamma 90.00
loop_
_atom_site_label
_atom_site_type_symbol
_atom_site_fract_x
_atom_site_fract_y
_atom_site_fract_z
Pu1 Pu 0.238 0.106 0.000
Te1 Te 0.147 0.148 0.500
Cl1 Cl 0.000 0.500 0.250



# PBE-GGA NdSm2Er3Tm6, relaxed
# total magnetization = 0.00 μB per cell
# energy relative to the elements = 28 kJ/mol of formula units
data_NdSm2Er3Tm6
_space_group_name_H-M_alt 'C 1 2/m 1'
_space_group_IT_number 12
_space_group_name_Hall '-C 2y'
_cell_length_a 6.126
_cell_length_b 10.599
_cell_length_c 11.661
_cell_angle_alpha 90.00
_cell_angle_beta 100.07
_cell_angle_gamma 90.00
loop_
_atom_site_label
_atom_site_type_symbol
_atom_site_fract_x
_atom_site_fract_y
_atom_site_fract_z
Nd1 Nd 0.000 0.000 0.000
Sm1 Sm 0.000 0.333 0.000
Er1 Er 0.000 0.167 0.500
Er2 Er 0.000 0.500 0.500
Tm1 Tm 0.248 0.000 0.747
Tm2 Tm 0.248 0.333 0.746